Entry 1:
Li3CdMo | Alexandria via LeMat-Bulk | SCAN | single point on PBEsol structure; magnetic moment = 4.77 μB per formula unit; E_form = 0.8866 eV per atom; DFT total energy = -68.04 eV/f.u.
1.0
4.779 0.000 0.000
0.000 4.779 0.000
0.000 0.000 4.779
Li Cd Mo
3 1 1
Direct
0.000 0.000 0.500
0.000 0.500 0.000
0.500 0.000 0.000
0.000 0.000 0.000
0.500 0.500 0.500

=====

Entry 2:
RbErO2 | Alexandria via LeMat-Bulk | SCAN | single point on PBEsol structure; energy relative to the elements, uncorrected = -3.0330 eV per atom; magnetic moment = 0.00 μB per formula unit; DFT total energy = -95.67 eV/f.u.
1.0
1.711 0.988 6.438
-1.711 0.988 6.438
0.000 -1.976 6.438
Rb Er O
1 1 2
Direct
0.000 0.000 0.000
0.500 0.500 0.500
0.225 0.225 0.225
0.775 0.775 0.775

=====

Entry 3:
Al2TcMo | Alexandria via LeMat-Bulk | SCAN | single point on PBEsol structure; magnetic moment = 0.00 μB per formula unit; E_form = -0.4312 eV per atom; DFT total energy = -87.17 eV/f.u.
1.0
3.111 0.000 0.000
0.000 3.111 0.000
0.000 0.000 5.953
Al Tc Mo
2 1 1
Direct
0.000 0.000 0.000
0.500 0.500 0.263
0.500 0.500 0.763
0.000 0.000 0.516

=====

Entry 4:
KHgPt2 | Alexandria via LeMat-Bulk | SCAN | single point on PBEsol structure; magnetic moment = 0.00 μB per formula unit; E_form = 0.2596 eV per atom; DFT total energy = -215.84 eV/f.u.
1.0
4.179 0.000 0.000
0.000 4.179 0.000
0.000 0.000 4.242
K Hg Pt
1 1 2
Direct
0.000 0.000 0.000
0.500 0.500 0.000
0.000 0.500 0.500
0.500 0.000 0.500

=====

Entry 5:
Li3CoGe | Alexandria via LeMat-Bulk | SCAN | single point on PBEsol structure; magnetic moment = 2.84 μB per formula unit; E_form = 0.6216 eV per atom; DFT total energy = -40.45 eV/f.u.
1.0
4.606 0.000 0.000
0.000 4.606 0.000
0.000 0.000 4.606
Li Co Ge
3 1 1
Direct
0.000 0.000 0.500
0.000 0.500 0.000
0.500 0.000 0.000
0.500 0.500 0.500
0.000 0.000 0.000

=====

Entry 6:
ScBeZn | Alexandria via LeMat-Bulk | SCAN | single point on PBEsol structure; magnetic moment = 0.00 μB per formula unit; E_form = 0.0922 eV per atom; DFT total energy = -31.83 eV/f.u.
1.0
-1.400 2.062 3.897
1.400 -2.062 3.897
1.400 2.062 -3.897
Sc Be Zn
1 1 1
Direct
0.000 0.000 0.000
0.341 0.341 0.000
0.663 0.663 0.000

=====

Entry 7:
MnRh2Cl | Alexandria via LeMat-Bulk | SCAN | single point on PBEsol structure; energy relative to the elements, uncorrected = 0.1170 eV per atom; magnetic moment = 4.21 μB per formula unit; DFT total energy = -93.31 eV/f.u.
1.0
1.419 -2.426 0.000
1.419 2.426 0.000
0.000 0.000 8.281
Mn Rh Cl
1 2 1
Direct
0.000 0.000 0.000
0.500 0.500 0.242
0.500 0.500 0.758
0.000 0.000 0.500

=====

Entry 8:
Sc2ZnSe | Alexandria via LeMat-Bulk | SCAN | single point on PBEsol structure; energy relative to the elements, uncorrected = -1.0290 eV per atom; magnetic moment = 0.00 μB per formula unit; DFT total energy = -66.18 eV/f.u.
1.0
1.823 1.052 6.860
-1.823 1.052 6.860
0.000 -2.105 6.860
Sc Zn Se
2 1 1
Direct
0.246 0.246 0.246
0.754 0.754 0.754
0.000 0.000 0.000
0.500 0.500 0.500

=====

Entry 9:
AgMoW | Alexandria via LeMat-Bulk | SCAN | single point on PBEsol structure; magnetic moment = 0.00 μB per formula unit; E_form = 0.5278 eV per atom; DFT total energy = -134.36 eV/f.u.
1.0
-1.325 1.325 6.728
1.325 -1.325 6.728
1.325 1.325 -6.728
Ag Mo W
1 1 1
Direct
0.000 0.000 0.000
0.667 0.667 0.000
0.333 0.333 0.000

=====

Entry 10:
Ba5Ta4O15 | Alexandria via LeMat-Bulk | SCAN | single point on PBEsol structure; energy relative to the elements, uncorrected = -3.2772 eV per atom; magnetic moment = 0.00 μB per formula unit; DFT total energy = -636.21 eV/f.u.
1.0
5.784 0.000 0.000
-2.892 5.009 0.000
0.000 0.000 11.814
Ba Ta O
5 4 15
Direct
0.000 0.000 0.000
0.333 0.667 0.432
0.333 0.667 0.788
0.667 0.333 0.212
0.667 0.333 0.568
0.000 0.000 0.314
0.000 0.000 0.686
0.333 0.667 0.104
0.667 0.333 0.896
0.000 0.500 0.000
0.164 0.329 0.613
0.164 0.836 0.613
0.168 0.336 0.191
0.168 0.832 0.191
0.329 0.164 0.387
0.336 0.168 0.809
0.500 0.000 0.000
0.500 0.500 0.000
0.664 0.832 0.191
0.671 0.836 0.613
0.832 0.168 0.809
0.832 0.664 0.809
0.836 0.164 0.387
0.836 0.671 0.387

=====

Entry 11:
GaRuS2N | Alexandria via LeMat-Bulk | SCAN | single point on PBEsol structure; energy relative to the elements, uncorrected = 0.3208 eV per atom; magnetic moment = 0.00 μB per formula unit; DFT total energy = -78.12 eV/f.u.
1.0
4.771 0.000 0.000
0.000 4.771 0.000
0.000 0.000 3.602
Ga Ru S N
1 1 2 1
Direct
0.000 0.000 0.000
0.500 0.500 0.500
0.000 0.500 0.500
0.500 0.000 0.500
0.500 0.500 0.000

=====

Entry 12:
SbSeCl9 | Alexandria via LeMat-Bulk | SCAN | single point on PBEsol structure; energy relative to the elements, uncorrected = -0.5778 eV per atom; magnetic moment = 0.00 μB per formula unit; DFT total energy = -135.50 eV/f.u.
1.0
9.402 0.000 0.000
0.000 10.960 0.000
-3.036 0.000 12.471
Sb Se Cl
4 4 36
Direct
0.026 0.250 0.379
0.324 0.750 0.167
0.676 0.250 0.833
0.974 0.750 0.621
0.065 0.250 0.883
0.364 0.750 0.679
0.636 0.250 0.321
0.935 0.750 0.117
0.135 0.750 0.495
0.143 0.750 0.995
0.145 0.598 0.721
0.145 0.902 0.721
0.153 0.250 0.242
0.167 0.094 0.477
0.167 0.406 0.477
0.167 0.598 0.224
0.167 0.902 0.224
0.173 0.250 0.750
0.186 0.100 0.975
0.186 0.400 0.975
0.452 0.593 0.104
0.452 0.907 0.104
0.477 0.599 0.622
0.477 0.901 0.622
0.481 0.750 0.339
0.486 0.750 0.846
0.514 0.250 0.154
0.519 0.250 0.661
0.523 0.099 0.378
0.523 0.401 0.378
0.548 0.093 0.896
0.548 0.407 0.896
0.814 0.600 0.025
0.814 0.900 0.025
0.827 0.750 0.250
0.833 0.098 0.776
0.833 0.402 0.776
0.833 0.594 0.523
0.833 0.906 0.523
0.847 0.750 0.758
0.855 0.098 0.279
0.855 0.402 0.279
0.857 0.250 0.005
0.865 0.250 0.505

=====

> Number 10 is which compound?

Ba5Ta4O15

=====

> Look up the DFT total energy of the sixth one.

-31.83 eV/f.u.

=====

> Number 1 is which compound?

Li3CdMo